Here is a geometry-optimized Al14ZnSi structure from Alexandria via LeMat-Bulk. Energies are from PBE-GGA.

Output
Spin magnetization: 0.000 μB per atom
Space-group type: Amm2, No. 38
Energy: -58.5 eV/cell

Geometry as POSCAR:
```
Al14ZnSi
1.0
5.6638 -0.3305 0.0000
-2.5239 5.0811 0.0000
0.0000 0.0000 9.3291
Al Zn Si
14 1 1
Direct
0.5438 0.9571 0.5000
0.7075 0.2925 0.0000
0.3738 0.1253 0.2528
0.3738 0.1253 0.7472
0.8747 0.6262 0.2528
0.7083 0.7926 0.0000
0.2074 0.2917 0.0000
0.2077 0.7923 0.0000
0.8748 0.1252 0.2500
0.0429 0.4562 0.5000
0.3749 0.6251 0.7483
0.8747 0.6262 0.7472
0.8748 0.1252 0.7500
0.3749 0.6251 0.2517
0.0398 0.9602 0.5000
0.5461 0.4539 0.5000
```

---

Here is a geometry-optimized Tb2Ho5Th4 structure from Alexandria via LeMat-Bulk. Energies are from PBE-GGA.

Output
ΔE to the lowest computed polymorph: 21.59 kJ/mol of atoms
Spin magnetization: 0.000 μB per atom
Space-group type: Immm, No. 71
Energy: -58.7 eV/cell
ΔE_f: 3.1 eV/f.u.

Geometry as POSCAR:
```
Tb2Ho5Th4
1.0
3.4901 0.0000 0.0000
0.0000 9.2921 0.0000
-1.7451 -4.6461 11.5016
Ho Tb Th
5 2 4
Direct
0.8513 0.0536 0.7026
0.8513 0.6489 0.7026
0.1487 0.9464 0.2974
0.1487 0.3511 0.2974
0.5000 0.0000 0.0000
0.2702 0.2702 0.5404
0.7298 0.7298 0.4596
0.4064 0.4064 0.8127
0.5936 0.5936 0.1873
0.0000 0.7029 0.0000
0.0000 0.2971 0.0000
```

---

Here is a geometry-optimized SrAs3F structure from Alexandria via LeMat-Bulk. Energies are from PBE-GGA.

Output
ΔE to the lowest computed polymorph: 0.00 kJ/mol of atoms
Spin magnetization: 0.000 μB per atom
Space-group type: Pm-3m, No. 221
Energy: -19.6 eV/cell

Geometry as POSCAR:
```
SrAs3F
1.0
4.7394 0.0000 0.0000
0.0000 4.7394 0.0000
0.0000 0.0000 4.7394
As F Sr
3 1 1
Direct
0.5000 0.0000 0.0000
0.0000 0.5000 0.0000
0.0000 0.0000 0.5000
0.0000 0.0000 0.0000
0.5000 0.5000 0.5000
```

---

Here is a geometry-optimized NaH2I3 structure from Alexandria via LeMat-Bulk. Energies are from PBE-GGA.

Output
Spin magnetization: 0.000 μB per atom
Space-group type: Cmc2_1, No. 36
Energy: -30.0 eV/cell

Geometry as POSCAR:
```
NaH2I3
1.0
6.2286 0.0000 0.0000
0.0000 8.1594 -7.6333
0.0000 -2.7696 10.8246
I Na H
6 2 4
Direct
0.1806 0.2506 0.2506
0.1842 0.9296 0.5988
0.6842 0.4012 0.0704
0.6806 0.7494 0.7494
0.1842 0.5988 0.9296
0.6842 0.0704 0.4012
0.1804 0.7499 0.7499
0.6804 0.2501 0.2501
0.3768 0.1133 0.7818
0.8768 0.8867 0.2182
0.3768 0.7818 0.1133
0.8768 0.2182 0.8867
```

---

Here is a geometry-optimized InSi2 structure from Alexandria via LeMat-Bulk. Energies are from PBE-GGA.

Output
ΔE to the lowest computed polymorph: 8.67 kJ/mol of atoms
Spin magnetization: 0.000 μB per atom
Space-group type: Cmcm, No. 63
Energy: -25.2 eV/cell

Geometry as POSCAR:
```
InSi2
1.0
1.7216 -8.3838 0.0000
1.7216 8.3838 0.0000
0.0000 0.0000 4.2827
Si In
4 2
Direct
0.2359 0.7641 0.7500
0.8431 0.1569 0.7500
0.1569 0.8431 0.2500
0.7641 0.2359 0.2500
0.5711 0.4289 0.7500
0.4289 0.5711 0.2500
```

---

Here is a geometry-optimized La8AsSe3Br4 structure from Alexandria via LeMat-Bulk. Energies are from PBE-GGA.

Output
Spin magnetization: 0.000 μB per atom
Space-group type: R-3m, No. 166
Energy: -87.2 eV/cell

Geometry as POSCAR:
```
La8AsSe3Br4
1.0
-8.0728 -0.6108 3.0801
2.1868 -7.2185 4.3001
4.5468 7.2777 1.1803
La As Br Se
8 1 4 3
Direct
0.7459 0.7301 0.9880
0.7579 0.2699 0.5158
0.2561 0.2683 0.5122
0.2541 0.2699 0.0120
0.2421 0.7301 0.4842
0.2421 0.7301 0.9880
0.7439 0.7317 0.4878
0.7579 0.2699 0.0120
0.0000 0.5000 0.0000
0.0000 0.0000 0.5000
0.0000 0.0000 0.0000
0.5000 0.0000 0.0000
0.5000 0.0000 0.5000
0.5000 0.5000 0.0000
0.0000 0.5000 0.5000
0.5000 0.5000 0.5000
```

---

Here is a geometry-optimized Pa2NbGe2 structure from Alexandria via LeMat-Bulk. Energies are from PBE-GGA.

Output
ΔE to the lowest computed polymorph: 0.00 kJ/mol of atoms
Spin magnetization: 0.000 μB per atom
Space-group type: P4/mbm, No. 127
Energy: -81.1 eV/cell
ΔE_f: -2.2 eV/f.u.

Geometry as POSCAR:
```
Pa2NbGe2
1.0
-3.5981 -0.4446 2.2615
-3.7261 -0.4184 -6.0105
0.8468 -7.0332 -0.0354
Pa Ge Nb
4 4 2
Direct
0.5000 0.8230 0.3230
0.5000 0.6770 0.8230
0.5000 0.3230 0.1770
0.5000 0.1770 0.6770
0.0000 0.6287 0.1287
0.0000 0.8713 0.6287
0.0000 0.3713 0.8713
0.0000 0.1287 0.3713
0.0000 0.5000 0.5000
0.0000 0.0000 0.0000
```

---

Here is a geometry-optimized NdYAl2Zn2 structure from Alexandria via LeMat-Bulk. Energies are from PBE-GGA.

Output
Spin magnetization: 0.000 μB per atom
Space-group type: P-3m1, No. 164
Energy: -24.0 eV/cell
ΔE_f: -2.7 eV/f.u.

Geometry as POSCAR:
```
NdYAl2Zn2
1.0
4.5126 0.0000 0.0000
-2.2563 3.9080 0.0000
0.0000 0.0000 7.4120
Zn Al Nd Y
2 2 1 1
Direct
0.3333 0.6667 0.2729
0.6667 0.3333 0.7271
0.3333 0.6667 0.7342
0.6667 0.3333 0.2658
0.0000 0.0000 0.0000
0.0000 0.0000 0.5000
```

---

Here is a geometry-optimized LaEr2NpN4 structure from Alexandria via LeMat-Bulk. Energies are from PBE-GGA.

Output
Spin magnetization: 0.494 μB per atom
Space-group type: Cmcm, No. 63
Energy: -140.1 eV/cell

Geometry as POSCAR:
```
LaEr2NpN4
1.0
3.4449 0.0000 0.0000
-1.7224 6.5691 0.0000
0.0000 0.0000 10.8840
La N Np Er
2 8 2 4
Direct
0.7664 0.5329 0.2500
0.2336 0.4671 0.7500
0.5745 0.1490 0.7500
0.2006 0.4011 0.3916
0.0000 0.0000 0.5000
0.7994 0.5989 0.8916
0.4255 0.8510 0.2500
0.0000 0.0000 0.0000
0.7994 0.5989 0.6084
0.2006 0.4011 0.1084
0.0354 0.0707 0.2500
0.9646 0.9293 0.7500
0.3735 0.7471 0.0144
0.6265 0.2529 0.9856
0.3735 0.7471 0.4856
0.6265 0.2529 0.5144
```

---

Here is a geometry-optimized GaBRu2 structure from Alexandria via LeMat-Bulk. Energies are from PBE-GGA.

Output
ΔE to the lowest computed polymorph: 9.61 kJ/mol of atoms
Spin magnetization: 0.000 μB per atom
Space-group type: Cm, No. 8
Energy: -29.1 eV/cell
ΔE_f: -0.9 eV/f.u.

Geometry as POSCAR:
```
GaBRu2
1.0
2.9346 -0.0064 -0.0019
1.4617 2.5446 -0.0019
1.4606 0.8433 6.6904
Ru Ga B
2 1 1
Direct
0.2630 0.2630 0.1974
0.0721 0.0721 0.8021
0.4985 0.4985 0.4998
0.6663 0.6663 0.0008
```

---

Here is a geometry-optimized V3Cr4W2 structure from Alexandria via LeMat-Bulk. Energies are from PBE-GGA.

Output
Spin magnetization: 0.000 μB per atom
Space-group type: P-3m1, No. 164
Energy: -92.4 eV/cell
ΔE_f: -0.6 eV/f.u.

Geometry as POSCAR:
```
V3Cr4W2
1.0
-3.3713 -1.2148 -2.1708
-1.7106 -3.7569 0.7158
-4.6387 3.1488 5.4418
V Cr W
3 4 2
Direct
0.3334 0.3333 0.4379
0.6666 0.6667 0.5621
0.0000 0.0000 0.0000
0.0000 0.0001 0.6614
0.3334 0.3333 0.1111
0.0000 0.9999 0.3386
0.6666 0.6667 0.8889
0.3333 0.3334 0.7798
0.6667 0.6666 0.2202
```

---

Here is a geometry-optimized MnZnPd2 structure from Alexandria via LeMat-Bulk. Energies are from PBE-GGA.

Output
Spin magnetization: 1.005 μB per atom
Space-group type: Immm, No. 71
Energy: -20.2 eV/cell
ΔE_f: 0.7 eV/f.u.

Geometry as POSCAR:
```
MnZnPd2
1.0
4.7887 -1.5789 -2.7807
-1.4234 4.8372 2.7807
-3.4045 0.1492 4.6416
Mn Zn Pd
1 1 2
Direct
0.0000 0.0000 0.0000
0.0000 0.5000 0.5000
0.0000 0.2502 0.2502
0.0000 0.7498 0.7498
```